(1)
Sc2AsRhO: optimized geometry, PBE.

```
Sc2AsRhO
1.0
5.096 0.000 0.000
0.000 5.096 0.000
0.000 0.000 3.795
Sc As Rh O
2 1 1 1
Cartesian
0.000 2.548 0.000
2.548 0.000 0.000
0.000 0.000 0.000
2.548 2.548 1.898
0.000 0.000 1.898
```

Results
ΔE_f (raw) (eV/atom): -0.239
Calculated total energy (eV per atom): -6.163
Space-group type: P4/mmm
M_tot (μB/f.u.): 0.00

=====

(2)
As2RhSeO: optimized geometry, PBE.

```
As2RhSeO
1.0
4.193 0.000 0.000
0.000 4.193 0.000
0.000 0.000 4.688
As Rh Se O
2 1 1 1
Cartesian
0.000 2.096 0.000
2.096 0.000 0.000
0.000 0.000 2.344
2.096 2.096 2.344
2.096 2.096 0.000
```

Results
Distance to the lowest polymorph of the same formula (meV per atom): 0
ΔE_f (raw) (eV/atom): 0.349
Calculated total energy (eV per atom): -4.670
Space-group type: P4/mmm
M_tot (μB/f.u.): 0.00

=====

(3)
As2RhSeO: optimized geometry, PBE.

```
As2RhSeO
1.0
4.761 0.000 0.000
0.000 4.761 0.000
0.000 0.000 4.838
As Rh Se O
2 1 1 1
Cartesian
0.000 2.381 0.000
2.381 0.000 0.000
0.000 0.000 0.000
0.000 0.000 2.419
2.381 2.381 2.419
```

Results
Distance to the lowest polymorph of the same formula (meV per atom): 552
ΔE_f (raw) (eV/atom): 0.900
Calculated total energy (eV per atom): -4.118
Space-group type: P4/mmm
M_tot (μB/f.u.): 0.00

=====

(4)
SmAs2RhO8: optimized geometry, PBE.

```
SmAs2RhO8
1.0
5.443 0.000 0.000
-2.721 4.714 0.000
0.000 0.000 6.779
Sm As Rh O
1 2 1 8
Cartesian
0.000 0.000 0.000
0.000 3.142 1.549
2.721 1.571 5.230
0.000 0.000 3.389
0.000 1.469 1.969
-1.449 3.979 1.969
1.273 0.735 4.810
0.000 3.142 6.638
2.721 1.571 0.141
1.449 3.979 1.969
4.170 0.735 4.810
2.721 3.244 4.810
```

Results
ΔE_f (raw) (eV/atom): -1.476
Calculated total energy (eV per atom): -6.562
Space-group type: P-3m1
M_tot (μB/f.u.): 0.00

=====

(5)
SrAs2RhO6: optimized geometry, PBE.

```
SrAs2RhO6
1.0
2.655 1.533 5.897
-2.655 1.533 5.897
0.000 -3.066 5.897
Sr As Rh O
1 2 1 6
Cartesian
0.000 0.000 0.000
0.000 0.000 4.699
0.000 0.000 12.991
0.000 0.000 8.845
-0.958 -1.378 7.671
-1.672 0.141 10.019
-0.714 1.518 7.671
0.714 -1.518 10.019
1.672 -0.141 7.671
0.958 1.378 10.019
```

Results
ΔE_f (raw) (eV/atom): -1.280
Calculated total energy (eV per atom): -6.088
Space-group type: R-3
M_tot (μB/f.u.): 0.63

=====

(6)
SrAsRhO5: optimized geometry, PBE.

```
SrAsRhO5
1.0
3.462 -4.724 0.000
3.462 4.724 0.000
-2.897 0.000 6.642
Sr As Rh O
2 2 2 10
Cartesian
1.289 3.174 4.981
2.737 -3.174 1.660
2.737 2.954 1.660
1.289 -2.954 4.981
3.462 0.000 0.000
2.013 0.000 3.321
-1.443 0.704 6.167
1.608 1.981 2.561
0.006 -0.704 2.846
3.867 1.981 0.760
1.289 0.757 4.981
2.737 -0.757 1.660
0.160 -1.981 5.882
4.020 0.704 3.796
2.418 -1.981 4.081
5.469 -0.704 0.475
```

Results
ΔE_f (raw) (eV/atom): -1.538
Calculated total energy (eV per atom): -6.347
Space-group type: C2/c
M_tot (μB/f.u.): 0.06

=====

(7)
SrAsRhO2: optimized geometry, PBE.

```
SrAsRhO2
1.0
3.996 0.000 0.000
0.000 3.996 0.000
0.000 0.000 6.447
Sr As Rh O
1 1 1 2
Cartesian
0.000 0.000 0.000
1.998 1.998 0.000
0.000 0.000 3.224
0.000 1.998 3.224
1.998 0.000 3.224
```

Results
ΔE_f (raw) (eV/atom): -0.154
Calculated total energy (eV per atom): -4.874
Space-group type: P4/mmm
M_tot (μB/f.u.): 1.36

=====

(8)
ThAs2RhO8: optimized geometry, PBE.

```
ThAs2RhO8
1.0
5.540 0.000 0.000
-2.770 4.798 0.000
0.000 0.000 6.783
Th As Rh O
1 2 1 8
Cartesian
0.000 0.000 0.000
0.000 3.198 1.439
2.770 1.599 5.344
0.000 0.000 3.391
0.000 1.522 1.895
-1.452 4.037 1.895
1.318 0.761 4.888
0.000 3.198 6.520
2.770 1.599 0.263
1.452 4.037 1.895
4.222 0.761 4.888
2.770 3.276 4.888
```

Results
ΔE_f (raw) (eV/atom): -1.535
Calculated total energy (eV per atom): -6.846
Space-group type: P-3m1
M_tot (μB/f.u.): 1.02

=====

(9)
TiAsRhO2: optimized geometry, PBE.

```
TiAsRhO2
1.0
3.706 0.000 0.000
0.000 3.706 0.000
0.000 0.000 5.895
Ti As Rh O
1 1 1 2
Cartesian
0.000 0.000 0.000
1.853 1.853 0.000
0.000 0.000 2.947
0.000 1.853 2.947
1.853 0.000 2.947
```

Results
Distance to the lowest polymorph of the same formula (meV per atom): 0
ΔE_f (raw) (eV/atom): -0.325
Calculated total energy (eV per atom): -6.288
Space-group type: P4/mmm
M_tot (μB/f.u.): 0.10

=====

(10)
TiAsRhO2: optimized geometry, PBE.

```
TiAsRhO2
1.0
3.778 0.000 0.000
0.000 3.778 0.000
0.000 0.000 4.902
Ti As Rh O
1 1 1 2
Cartesian
0.000 0.000 0.000
1.889 1.889 2.451
1.889 1.889 0.000
0.000 1.889 2.451
1.889 0.000 2.451
```

Results
Distance to the lowest polymorph of the same formula (meV per atom): 72
ΔE_f (raw) (eV/atom): -0.254
Calculated total energy (eV per atom): -6.216
Space-group type: P4/mmm
M_tot (μB/f.u.): 0.01

=====

(11)
TlAsRhO5: optimized geometry, PBE.

```
TlAsRhO5
1.0
3.327 -4.370 0.000
3.327 4.370 0.000
-3.165 0.000 8.102
Tl As Rh O
2 2 2 10
Cartesian
0.000 0.000 0.000
-1.583 0.000 4.051
0.953 1.489 6.076
2.535 -1.489 2.025
2.535 1.670 2.025
0.953 -1.670 6.076
-0.327 2.619 6.457
2.535 3.533 2.025
0.586 0.344 4.825
2.232 2.619 5.695
2.168 -0.344 0.774
1.320 0.344 7.328
1.256 -2.619 2.406
2.902 -0.344 3.277
0.953 -3.533 6.076
3.815 -2.619 1.645
```

Results
ΔE_f (raw) (eV/atom): -0.648
Calculated total energy (eV per atom): -5.543
Space-group type: C2/c
M_tot (μB/f.u.): 1.13

=====

(12)
Tl2AsRh2O6: optimized geometry, PBE.

```
Tl2AsRh2O6
1.0
2.665 -4.594 0.000
2.665 4.594 0.000
-0.726 0.000 7.054
Tl As Rh O
2 1 2 6
Cartesian
2.665 3.046 0.000
2.665 -3.046 0.000
2.302 0.000 3.527
2.302 3.061 3.527
2.302 -3.061 3.527
0.599 0.000 2.529
1.446 1.476 4.524
3.159 1.476 2.531
1.446 -1.476 4.524
3.159 -1.476 2.531
4.005 0.000 4.525
```

Results
ΔE_f (raw) (eV/atom): -0.806
Calculated total energy (eV per atom): -5.700
Space-group type: C2/m
M_tot (μB/f.u.): 0.00